(1)
Computed, not measured: crystalline Y2ScCu2 at its relaxed geometry at the GGA-PBEsol level of DFT.

Lattice parameters (Å, degrees): 7.684 7.684 3.567 90.00 90.00 90.00
Fractional coordinates of all 10 atoms:
Y1 0.169 0.331 0.000
Y2 0.331 0.831 0.000
Y3 0.669 0.169 0.000
Y4 0.831 0.669 0.000
Sc1 0.000 0.000 0.500
Sc2 0.500 0.500 0.500
Cu1 0.123 0.623 0.500
Cu2 0.377 0.123 0.500
Cu3 0.623 0.877 0.500
Cu4 0.877 0.377 0.500

Output
energy relative to the elements: -0.15 eV per atom
density of states at the Fermi level: 13.654 states/eV/cell
symmetry: P4/mbm

---

(2)
Computed, not measured: crystalline TaReW2 at its relaxed geometry at the GGA-PBEsol level of DFT.

Lattice parameters (Å, degrees): 8.672 8.672 8.672 19.74 19.74 19.74
Fractional coordinates of all 4 atoms:
Ta1 0.000 0.000 0.000
Re1 0.249 0.249 0.249
W1 0.502 0.502 0.502
W2 0.752 0.752 0.752

Output
energy relative to the elements: 0.29 eV per atom
density of states at the Fermi level: 2.663 states/eV/cell
symmetry: R3m
polymorph energy (0 for the lowest one): 430 meV/atom

---

(3)
Computed, not measured: crystalline Ti2TlH at its relaxed geometry at the GGA-PBEsol level of DFT.

Lattice parameters (Å, degrees): 4.464 4.464 4.464 60.00 60.00 60.00
Fractional coordinates of all 4 atoms:
Ti1 0.250 0.250 0.250
Ti2 0.750 0.750 0.750
Tl1 0.000 0.000 0.000
H1 0.500 0.500 0.500

Output
E: -5.187 eV/atom
density of states at the Fermi level: 3.289 states/eV/cell
symmetry: Fm-3m

---

(4)
Computed, not measured: crystalline Li4Fe3Cu3W2O16 at its relaxed geometry at the GGA-PBEsol level of DFT.

Lattice parameters (Å, degrees): 5.838 5.838 9.508 93.09 93.09 58.09
Fractional coordinates of all 28 atoms:
Li1 0.000 0.000 0.000
Li2 0.013 0.013 0.503
Li3 0.332 0.332 0.414
Li4 0.648 0.648 0.920
Fe1 0.172 0.172 0.734
Fe2 0.347 0.828 0.227
Fe3 0.828 0.347 0.227
Cu1 0.175 0.663 0.723
Cu2 0.663 0.175 0.723
Cu3 0.835 0.835 0.225
W1 0.326 0.326 0.002
W2 0.675 0.675 0.502
O1 0.012 0.012 0.807
O2 0.014 0.014 0.312
O3 0.018 0.456 0.873
O4 0.165 0.165 0.121
O5 0.184 0.660 0.106
O6 0.319 0.319 0.637
O7 0.359 0.856 0.602
O8 0.456 0.018 0.873
O9 0.466 0.466 0.871
O10 0.505 0.961 0.353
O11 0.522 0.522 0.351
O12 0.658 0.658 0.123
O13 0.660 0.184 0.106
O14 0.844 0.844 0.582
O15 0.856 0.359 0.602
O16 0.961 0.505 0.353

Output
ΔE_f (raw): -1.52 eV per atom
density of states at the Fermi level: 12.494 states/eV/cell
symmetry: Cm

---

(5)
Computed, not measured: crystalline Sc2VO5 at its relaxed geometry at the GGA-PBEsol level of DFT.

Lattice parameters (Å, degrees): 9.072 9.072 9.072 129.38 129.38 74.40
Fractional coordinates of all 40 atoms:
Sc1 0.040 0.285 0.344
Sc2 0.192 0.192 0.000
Sc3 0.194 0.005 0.548
Sc4 0.304 0.960 0.245
Sc5 0.353 0.806 0.811
Sc6 0.458 0.647 0.452
Sc7 0.715 0.059 0.755
Sc8 0.808 0.808 0.000
Sc9 0.941 0.696 0.656
Sc10 0.995 0.542 0.189
V1 0.039 0.437 0.807
V2 0.500 0.500 0.000
V3 0.563 0.369 0.601
V4 0.631 0.232 0.193
V5 0.768 0.961 0.399
O1 0.007 0.157 0.661
O2 0.069 0.013 0.267
O3 0.074 0.574 0.500
O4 0.116 0.685 0.950
O5 0.194 0.472 0.107
O6 0.198 0.931 0.945
O7 0.250 0.750 0.500
O8 0.263 0.357 0.761
O9 0.315 0.264 0.430
O10 0.365 0.088 0.893
O11 0.426 0.926 0.500
O12 0.496 0.346 0.339
O13 0.498 0.737 0.094
O14 0.528 0.635 0.722
O15 0.596 0.502 0.239
O16 0.622 0.122 0.500
O17 0.643 0.404 0.906
O18 0.654 0.993 0.150
O19 0.736 0.166 0.050
O20 0.746 0.802 0.733
O21 0.834 0.884 0.570
O22 0.843 0.504 0.850
O23 0.878 0.378 0.500
O24 0.912 0.806 0.278
O25 0.987 0.254 0.055

Output
ΔE_f (raw): -3.13 eV per atom
density of states at the Fermi level: 9.111 states/eV/cell
symmetry: I-4

---

(6)
Computed, not measured: crystalline LaCdAg2 at its relaxed geometry at the GGA-PBEsol level of DFT.

Lattice parameters (Å, degrees): 5.015 5.015 5.015 60.00 60.00 60.00
Fractional coordinates of all 4 atoms:
La1 0.000 0.000 0.000
Cd1 0.250 0.250 0.250
Ag1 0.500 0.500 0.500
Ag2 0.750 0.750 0.750

Output
energy relative to the elements: -0.18 eV per atom
density of states at the Fermi level: 3.926 states/eV/cell
symmetry: F-43m

---

(7)
Computed, not measured: crystalline InCoTeI2 at its relaxed geometry at the GGA-PBEsol level of DFT.

Lattice parameters (Å, degrees): 5.894 5.894 6.171 90.00 90.00 90.00
Fractional coordinates of all 5 atoms:
In1 0.000 0.000 0.000
Co1 0.500 0.500 0.000
Te1 0.000 0.000 0.500
I1 0.000 0.500 0.500
I2 0.500 0.000 0.500

Output
ΔE_f (raw): 1.06 eV per atom
density of states at the Fermi level: 10.525 states/eV/cell
symmetry: P4/mmm

---

(8)
Computed, not measured: crystalline MgTiZn2S at its relaxed geometry at the GGA-PBEsol level of DFT.

Lattice parameters (Å, degrees): 4.995 4.995 4.488 90.00 90.00 90.00
Fractional coordinates of all 5 atoms:
Mg1 0.000 0.000 0.000
Ti1 0.500 0.500 0.500
Zn1 0.000 0.500 0.500
Zn2 0.500 0.000 0.500
S1 0.500 0.500 0.000

Output
ΔE_f (raw): 0.19 eV per atom
density of states at the Fermi level: 4.145 states/eV/cell
symmetry: P4/mmm

---

(9)
Computed, not measured: crystalline Ca4CrIr at its relaxed geometry at the GGA-PBEsol level of DFT.

Lattice parameters (Å, degrees): 5.950 5.950 5.950 60.00 60.00 60.00
Fractional coordinates of all 6 atoms:
Ca1 0.124 0.124 0.124
Ca2 0.124 0.124 0.629
Ca3 0.124 0.629 0.124
Ca4 0.629 0.124 0.124
Cr1 0.500 0.500 0.500
Ir1 0.750 0.750 0.750

Output
energy relative to the elements: 1.03 eV per atom
density of states at the Fermi level: 6.724 states/eV/cell
symmetry: F-43m

---

(10)
Computed, not measured: crystalline KW at its relaxed geometry at the GGA-PBEsol level of DFT.

Lattice parameters (Å, degrees): 4.875 4.875 4.875 60.00 60.00 60.00
Fractional coordinates of all 4 atoms:
K1 0.125 0.125 0.125
K2 0.875 0.875 0.875
W1 0.375 0.375 0.375
W2 0.625 0.625 0.625

Output
energy relative to the elements: 2.12 eV per atom
density of states at the Fermi level: 2.516 states/eV/cell
symmetry: Fd-3m
polymorph energy (0 for the lowest one): 1085 meV/atom

---

(11)
Computed, not measured: crystalline GaP2CCl at its relaxed geometry at the GGA-PBEsol level of DFT.

Lattice parameters (Å, degrees): 4.885 4.885 3.683 90.00 90.00 90.00
Fractional coordinates of all 5 atoms:
Ga1 0.000 0.000 0.000
P1 0.000 0.500 0.000
P2 0.500 0.000 0.000
C1 0.000 0.000 0.500
Cl1 0.500 0.500 0.500

Output
ΔE_f (raw): 1.53 eV per atom
density of states at the Fermi level: 3.513 states/eV/cell
symmetry: P4/mmm

---

(12)
Computed, not measured: crystalline ZrAu2F at its relaxed geometry at the GGA-PBEsol level of DFT.

Lattice parameters (Å, degrees): 4.573 4.573 4.573 60.00 60.00 60.00
Fractional coordinates of all 4 atoms:
Zr1 0.000 0.000 0.000
Au1 0.250 0.250 0.250
Au2 0.750 0.750 0.750
F1 0.500 0.500 0.500

Output
ΔE_f (raw): -0.61 eV per atom
density of states at the Fermi level: 2.042 states/eV/cell
symmetry: Fm-3m

---

(13)
Computed, not measured: crystalline Sc2Se3O12 at its relaxed geometry at the GGA-PBEsol level of DFT.

Lattice parameters (Å, degrees): 8.930 9.224 15.237 90.00 124.79 90.00
Fractional coordinates of all 68 atoms:
Sc1 0.131 0.032 0.384
Sc2 0.131 0.468 0.884
Sc3 0.368 0.033 0.117
Sc4 0.368 0.467 0.617
Sc5 0.632 0.533 0.383
Sc6 0.632 0.967 0.883
Sc7 0.869 0.532 0.116
Sc8 0.869 0.968 0.616
Se1 0.041 0.747 0.507
Se2 0.041 0.753 0.007
Se3 0.245 0.123 0.849
Se4 0.245 0.377 0.349
Se5 0.467 0.616 0.857
Se6 0.467 0.884 0.357
Se7 0.533 0.116 0.643
Se8 0.533 0.384 0.143
Se9 0.755 0.623 0.651
Se10 0.755 0.877 0.151
Se11 0.959 0.247 0.993
Se12 0.959 0.253 0.493
O1 0.014 0.623 0.924
O2 0.014 0.877 0.424
O3 0.033 0.689 0.106
O4 0.033 0.811 0.606
O5 0.057 0.025 0.776
O6 0.057 0.475 0.276
O7 0.125 0.129 0.066
O8 0.125 0.371 0.566
O9 0.202 0.202 0.326
O10 0.202 0.298 0.826
O11 0.240 0.668 0.557
O12 0.240 0.832 0.057
O13 0.319 0.076 0.545
O14 0.319 0.424 0.045
O15 0.332 0.607 0.899
O16 0.332 0.893 0.399
O17 0.339 0.089 0.977
O18 0.339 0.411 0.477
O19 0.390 0.082 0.818
O20 0.390 0.418 0.318
O21 0.395 0.002 0.259
O22 0.395 0.498 0.759
O23 0.464 0.718 0.315
O24 0.464 0.782 0.815
O25 0.536 0.218 0.185
O26 0.536 0.282 0.685
O27 0.605 0.502 0.241
O28 0.605 0.998 0.741
O29 0.610 0.582 0.682
O30 0.610 0.918 0.182
O31 0.661 0.589 0.523
O32 0.661 0.911 0.023
O33 0.668 0.107 0.601
O34 0.668 0.393 0.101
O35 0.681 0.576 0.955
O36 0.681 0.924 0.455
O37 0.760 0.168 0.943
O38 0.760 0.332 0.443
O39 0.798 0.702 0.174
O40 0.798 0.798 0.674
O41 0.875 0.629 0.434
O42 0.875 0.871 0.934
O43 0.943 0.525 0.724
O44 0.943 0.975 0.224
O45 0.967 0.189 0.394
O46 0.967 0.311 0.894
O47 0.986 0.123 0.576
O48 0.986 0.377 0.076

Output
ΔE_f (raw): -1.51 eV per atom
density of states at the Fermi level: 0.000 states/eV/cell
symmetry: P2_1/c

---

(14)
Computed, not measured: crystalline BaCuP at its relaxed geometry at the GGA-PBEsol level of DFT.

Lattice parameters (Å, degrees): 4.125 4.125 4.580 90.00 90.00 120.00
Fractional coordinates of all 3 atoms:
Ba1 0.000 0.000 0.000
Cu1 0.333 0.667 0.500
P1 0.667 0.333 0.500

Output
energy relative to the elements: -0.74 eV per atom
density of states at the Fermi level: 0.403 states/eV/cell
symmetry: P-6m2

---

(15)
Computed, not measured: crystalline Mn2AsIrS at its relaxed geometry at the GGA-PBEsol level of DFT.

Lattice parameters (Å, degrees): 4.440 4.440 4.549 90.00 90.00 90.00
Fractional coordinates of all 5 atoms:
Mn1 0.000 0.500 0.000
Mn2 0.500 0.000 0.000
As1 0.000 0.000 0.000
Ir1 0.500 0.500 0.500
S1 0.000 0.000 0.500

Output
ΔE_f (raw): 1.30 eV per atom
density of states at the Fermi level: 3.628 states/eV/cell
symmetry: P4/mmm

---

(16)
Computed, not measured: crystalline MnRh2W at its relaxed geometry at the GGA-PBEsol level of DFT.

Lattice parameters (Å, degrees): 4.624 4.624 4.608 99.59 99.59 33.62
Fractional coordinates of all 4 atoms:
Mn1 0.000 0.000 0.000
Rh1 0.253 0.253 0.757
Rh2 0.747 0.747 0.243
W1 0.500 0.500 0.500

Output
energy relative to the elements: 0.00 eV per atom
density of states at the Fermi level: 4.387 states/eV/cell
symmetry: C2/m
polymorph energy (0 for the lowest one): 158 meV/atom

---

(17)
Computed, not measured: crystalline PW4Cl11 at its relaxed geometry at the GGA-PBEsol level of DFT.

Lattice parameters (Å, degrees): 8.498 8.498 11.320 90.70 90.70 70.78
Fractional coordinates of all 32 atoms:
P1 0.174 0.174 0.249
P2 0.826 0.826 0.751
W1 0.144 0.407 0.127
W2 0.144 0.407 0.374
W3 0.407 0.144 0.127
W4 0.407 0.144 0.374
W5 0.593 0.856 0.626
W6 0.593 0.856 0.873
W7 0.856 0.593 0.626
W8 0.856 0.593 0.873
Cl1 0.020 0.681 0.017
Cl2 0.020 0.681 0.487
Cl3 0.027 0.027 0.246
Cl4 0.109 0.486 0.751
Cl5 0.259 0.571 0.253
Cl6 0.319 0.980 0.513
Cl7 0.319 0.980 0.983
Cl8 0.372 0.372 0.509
Cl9 0.372 0.372 0.996
Cl10 0.429 0.741 0.747
Cl11 0.486 0.109 0.751
Cl12 0.514 0.891 0.249
Cl13 0.571 0.259 0.253
Cl14 0.628 0.628 0.004
Cl15 0.628 0.628 0.491
Cl16 0.681 0.020 0.017
Cl17 0.681 0.020 0.487
Cl18 0.741 0.429 0.747
Cl19 0.891 0.514 0.249
Cl20 0.973 0.973 0.754
Cl21 0.980 0.319 0.513
Cl22 0.980 0.319 0.983

Output
ΔE_f (raw): -0.80 eV per atom
symmetry: C2/m

---

(18)
Computed, not measured: crystalline ZnSiRh2 at its relaxed geometry at the GGA-PBEsol level of DFT.

Lattice parameters (Å, degrees): 2.844 2.844 6.345 90.00 90.00 90.00
Fractional coordinates of all 4 atoms:
Zn1 0.000 0.000 0.000
Si1 0.000 0.000 0.500
Rh1 0.500 0.500 0.276
Rh2 0.500 0.500 0.724

Output
ΔE_f (raw): -0.72 eV per atom
density of states at the Fermi level: 1.324 states/eV/cell
symmetry: P4/mmm
polymorph energy (0 for the lowest one): 0 meV/atom

---

(19)
Computed, not measured: crystalline AgHgRu at its relaxed geometry at the GGA-PBEsol level of DFT.

Lattice parameters (Å, degrees): 4.388 4.388 4.388 60.00 60.00 60.00
Fractional coordinates of all 3 atoms:
Ag1 0.000 0.000 0.000
Hg1 0.250 0.250 0.250
Ru1 0.500 0.500 0.500

Output
energy relative to the elements: 1.04 eV per atom
density of states at the Fermi level: 5.478 states/eV/cell
symmetry: F-43m
polymorph energy (0 for the lowest one): 433 meV/atom

---

(20)
Computed, not measured: crystalline LaCrSe2 at its relaxed geometry at the GGA-PBEsol level of DFT.

Lattice parameters (Å, degrees): 6.552 6.552 6.552 37.05 37.05 37.05
Fractional coordinates of all 4 atoms:
La1 0.000 0.000 0.000
Cr1 0.500 0.500 0.500
Se1 0.237 0.237 0.237
Se2 0.763 0.763 0.763

Output
ΔE_f (raw): -1.02 eV per atom
density of states at the Fermi level: 4.420 states/eV/cell
symmetry: R-3m
polymorph energy (0 for the lowest one): 0 meV/atom